# RbBi2Mo | Alexandria | PBE | optimized geometry
# E above lowest polymorph = 0 meV/atom
data_RbBi2Mo
_chemical_formula_sum 'Rb4 Bi8 Mo4'
_space_group_name_H-M_alt 'I -4 2 d'
_space_group_IT_number 122
_space_group_name_Hall 'I -4 2bw'
_cell_length_a 7.123
_cell_length_b 7.123
_cell_length_c 15.411
_cell_angle_alpha 90.00
_cell_angle_beta 90.00
_cell_angle_gamma 90.00
loop_
_atom_site_label
_atom_site_fract_x
_atom_site_fract_y
_atom_site_fract_z
Rb1 0.000 0.000 0.000
Bi1 0.001 0.250 0.625
Mo1 0.000 0.000 0.500

***

The following is a PBE calculation of an optimized crystal structure of RbRe2BiMo, from Alexandria.

CIF file:
```
data_RbRe2BiMo
_chemical_formula_sum 'Rb1 Re2 Bi1 Mo1'
_space_group_name_H-M_alt 'P 4/m m m'
_space_group_IT_number 123
_space_group_name_Hall '-P 4 2'
_cell_length_a 4.843
_cell_length_b 4.843
_cell_length_c 4.814
_cell_angle_alpha 90.00
_cell_angle_beta 90.00
_cell_angle_gamma 90.00
loop_
_atom_site_label
_atom_site_fract_x
_atom_site_fract_y
_atom_site_fract_z
Rb1 0.000 0.000 0.000
Re1 0.000 0.500 0.000
Bi1 0.500 0.500 0.500
Mo1 0.000 0.000 0.500
```

***

The following is a PBE calculation of an optimized crystal structure of RbBiMoRh2, from Alexandria.

CIF file:
```
data_RbBiMoRh2
_chemical_formula_sum 'Rb1 Bi1 Mo1 Rh2'
_space_group_name_H-M_alt 'P 4/m m m'
_space_group_IT_number 123
_space_group_name_Hall '-P 4 2'
_cell_length_a 4.877
_cell_length_b 4.877
_cell_length_c 5.180
_cell_angle_alpha 90.00
_cell_angle_beta 90.00
_cell_angle_gamma 90.00
loop_
_atom_site_label
_atom_site_fract_x
_atom_site_fract_y
_atom_site_fract_z
Rb1 0.000 0.000 0.000
Bi1 0.500 0.500 0.500
Mo1 0.000 0.000 0.500
Rh1 0.000 0.500 0.000
```

***

no.,V (Å³ per atom),formation enthalpy at 0 K (meV per atom),density of states at the Fermi level (states/eV/f.u.)
1,48.87,448,2.70
2,22.58,3607,7.06
3,24.64,2304,4.90